An optimized crystal structure of Ba2LiNpSe5. Source: Alexandria, functional GGA-PBE.

CIF file:
```
data_Ba2LiNpSe5
_symmetry_space_group_name_H-M 'C m c 21'
_symmetry_Int_Tables_number 36
_symmetry_space_group_name_Hall 'C 2c -2'
_cell_length_a 4.355
_cell_length_b 18.692
_cell_length_c 13.290
_cell_angle_alpha 90.00
_cell_angle_beta 90.00
_cell_angle_gamma 90.00
loop_
_atom_site_label
_atom_site_fract_x
_atom_site_fract_y
_atom_site_fract_z
_atom_site_occupancy
Ba1 0.000 0.108 0.000 1
Ba2 0.000 0.122 0.619 1
Li1 0.000 0.439 0.751 1
Np1 0.000 0.207 0.324 1
Se1 0.000 0.067 0.352 1
Se2 0.000 0.286 0.960 1
Se3 0.000 0.303 0.686 1
Se4 0.000 0.352 0.312 1
Se5 0.000 0.499 0.084 1
```

## Properties
The magnetization comes out at 1.998 μB per formula unit. Its raw formation energy is -13.29 eV per formula unit. For the raw total energy, the calculation gives -0.4035 Ry per atom.


An optimized crystal structure of BaLiNp2Te4. Source: Alexandria, functional GGA-PBE.

CIF file:
```
data_BaLiNp2Te4
_symmetry_space_group_name_H-M 'C m c m'
_symmetry_Int_Tables_number 63
_symmetry_space_group_name_Hall '-C 2c 2'
_cell_length_a 4.566
_cell_length_b 14.958
_cell_length_c 15.532
_cell_angle_alpha 90.00
_cell_angle_beta 90.00
_cell_angle_gamma 90.00
loop_
_atom_site_label
_atom_site_fract_x
_atom_site_fract_y
_atom_site_fract_z
_atom_site_occupancy
Ba1 0.000 0.118 0.250 1
Li1 0.000 0.152 0.750 1
Np1 0.000 0.370 0.059 1
Te1 0.000 0.000 0.000 1
Te2 0.000 0.266 0.615 1
Te3 0.000 0.444 0.250 1
```

## Properties
The magnetization comes out at 8.972 μB per formula unit. Its raw formation energy is -7.76 eV per formula unit. For the raw total energy, the calculation gives -0.4597 Ry per atom.


An optimized crystal structure of BaLiNpTe3. Source: Alexandria, functional GGA-PBE.

CIF file:
```
data_BaLiNpTe3
_symmetry_space_group_name_H-M 'P 1 21/m 1'
_symmetry_Int_Tables_number 11
_symmetry_space_group_name_Hall '-P 2yb'
_cell_length_a 9.461
_cell_length_b 4.582
_cell_length_c 10.013
_cell_angle_alpha 90.00
_cell_angle_beta 104.61
_cell_angle_gamma 90.00
loop_
_atom_site_label
_atom_site_fract_x
_atom_site_fract_y
_atom_site_fract_z
_atom_site_occupancy
Ba1 0.192 0.250 0.243 1
Li1 0.085 0.250 0.590 1
Np1 0.328 0.750 0.844 1
Te1 0.109 0.250 0.870 1
Te2 0.219 0.750 0.521 1
Te3 0.448 0.750 0.167 1
```

## Properties
The magnetization comes out at 4.001 μB per formula unit. Its raw formation energy is -6.71 eV per formula unit. For the raw total energy, the calculation gives -0.4032 Ry per atom.


An optimized crystal structure of Ba2LiO2. Source: Alexandria, functional GGA-PBE.

CIF file:
```
data_Ba2LiO2
_symmetry_space_group_name_H-M 'I 4/m m m'
_symmetry_Int_Tables_number 139
_symmetry_space_group_name_Hall '-I 4 2'
_cell_length_a 5.245
_cell_length_b 5.245
_cell_length_c 10.051
_cell_angle_alpha 90.00
_cell_angle_beta 90.00
_cell_angle_gamma 90.00
loop_
_atom_site_label
_atom_site_fract_x
_atom_site_fract_y
_atom_site_fract_z
_atom_site_occupancy
Ba1 0.000 0.500 0.250 1
Li1 0.000 0.000 0.000 1
O1 0.000 0.000 0.185 1
```

## Properties
The magnetization comes out at 0.001 μB per formula unit. Its raw formation energy is -9.63 eV per formula unit. For the raw total energy, the calculation gives -0.3721 Ry per atom. The polymorph energy (0 for the lowest one) comes out at 0.000 eV/atom.


An optimized crystal structure of BaLiO3. Source: Alexandria, functional GGA-PBE.

CIF file:
```
data_BaLiO3
_symmetry_space_group_name_H-M 'P m -3 m'
_symmetry_Int_Tables_number 221
_symmetry_space_group_name_Hall '-P 4 2 3'
_cell_length_a 3.996
_cell_length_b 3.996
_cell_length_c 3.996
_cell_angle_alpha 90.00
_cell_angle_beta 90.00
_cell_angle_gamma 90.00
loop_
_atom_site_label
_atom_site_fract_x
_atom_site_fract_y
_atom_site_fract_z
_atom_site_occupancy
Ba1 0.000 0.000 0.000 1
Li1 0.500 0.500 0.500 1
O1 0.000 0.500 0.500 1
```

## Properties
The magnetization comes out at 3.000 μB per formula unit. Its raw formation energy is -6.09 eV per formula unit. For the raw total energy, the calculation gives -0.3646 Ry per atom.


An optimized crystal structure of BaLiO2. Source: Alexandria, functional GGA-PBE.

CIF file:
```
data_BaLiO2
_symmetry_space_group_name_H-M 'F m -3 m'
_symmetry_Int_Tables_number 225
_symmetry_space_group_name_Hall '-F 4 2 3'
_cell_length_a 6.286
_cell_length_b 6.286
_cell_length_c 6.286
_cell_angle_alpha 90.00
_cell_angle_beta 90.00
_cell_angle_gamma 90.00
loop_
_atom_site_label
_atom_site_fract_x
_atom_site_fract_y
_atom_site_fract_z
_atom_site_occupancy
Ba1 0.000 0.000 0.000 1
Li1 0.000 0.000 0.500 1
O1 0.250 0.250 0.250 1
```

## Properties
The magnetization comes out at 1.000 μB per formula unit. Its raw formation energy is -5.94 eV per formula unit. For the raw total energy, the calculation gives -0.3618 Ry per atom. The polymorph energy (0 for the lowest one) comes out at 0.202 eV/atom.


An optimized crystal structure of Ba2LiO2. Source: Alexandria, functional GGA-PBE.

CIF file:
```
data_Ba2LiO2
_symmetry_space_group_name_H-M 'I 4/m m m'
_symmetry_Int_Tables_number 139
_symmetry_space_group_name_Hall '-I 4 2'
_cell_length_a 4.812
_cell_length_b 4.812
_cell_length_c 13.820
_cell_angle_alpha 90.00
_cell_angle_beta 90.00
_cell_angle_gamma 90.00
loop_
_atom_site_label
_atom_site_fract_x
_atom_site_fract_y
_atom_site_fract_z
_atom_site_occupancy
Ba1 0.000 0.000 0.181 1
Li1 0.000 0.000 0.500 1
O1 0.000 0.500 0.250 1
```

## Properties
The magnetization comes out at 0.000 μB per formula unit. Its raw formation energy is -8.05 eV per formula unit. For the raw total energy, the calculation gives -0.3487 Ry per atom. The polymorph energy (0 for the lowest one) comes out at 0.318 eV/atom.


An optimized crystal structure of BaLiO2. Source: Alexandria, functional GGA-PBE.

CIF file:
```
data_BaLiO2
_symmetry_space_group_name_H-M 'I 41/a m d'
_symmetry_Int_Tables_number 141
_cell_length_a 4.500
_cell_length_b 4.500
_cell_length_c 11.851
_cell_angle_alpha 90.00
_cell_angle_beta 90.00
_cell_angle_gamma 90.00
loop_
_symmetry_equiv_pos_as_xyz
'x,y,z'
'-x,-y,-z'
'-y+1/4,x+3/4,z+1/4'
'y+1/4,-x+3/4,-z+1/4'
'-x+1/2,-y,z+1/2'
'x+1/2,y,-z+1/2'
'y+1/4,-x+1/4,z+3/4'
'-y+1/4,x+1/4,-z+3/4'
'x,-y,-z'
'-x,y,z'
'-y+1/4,-x+1/4,-z+3/4'
'y+1/4,x+1/4,z+3/4'
'-x+1/2,y,-z+1/2'
'x+1/2,-y,z+1/2'
'y+1/4,x+3/4,-z+1/4'
'-y+1/4,-x+3/4,z+1/4'
'x+1/2,y+1/2,z+1/2'
'-x+1/2,-y+1/2,-z+1/2'
'-y+3/4,x+1/4,z+3/4'
'y+3/4,-x+1/4,-z+3/4'
'-x,-y+1/2,z'
'x,y+1/2,-z'
'y+3/4,-x+3/4,z+1/4'
'-y+3/4,x+3/4,-z+1/4'
'x+1/2,-y+1/2,-z+1/2'
'-x+1/2,y+1/2,z+1/2'
'-y+3/4,-x+3/4,-z+1/4'
'y+3/4,x+3/4,z+1/4'
'-x,y+1/2,-z'
'x,-y+1/2,z'
'y+3/4,x+1/4,-z+3/4'
'-y+3/4,-x+1/4,z+3/4'
loop_
_atom_site_label
_atom_site_fract_x
_atom_site_fract_y
_atom_site_fract_z
_atom_site_occupancy
Ba1 0.000 0.250 0.375 1
Li1 0.000 0.250 0.875 1
O1 0.000 0.000 0.000 1
```

## Properties
The magnetization comes out at 0.010 μB per formula unit. Its raw formation energy is -6.75 eV per formula unit. For the raw total energy, the calculation gives -0.3767 Ry per atom. The polymorph energy (0 for the lowest one) comes out at 0.000 eV/atom.


An optimized crystal structure of BaLiO3. Source: Alexandria, functional GGA-PBE.

CIF file:
```
data_BaLiO3
_symmetry_space_group_name_H-M 'P m -3 m'
_symmetry_Int_Tables_number 221
_symmetry_space_group_name_Hall '-P 4 2 3'
_cell_length_a 4.478
_cell_length_b 4.478
_cell_length_c 4.478
_cell_angle_alpha 90.00
_cell_angle_beta 90.00
_cell_angle_gamma 90.00
loop_
_atom_site_label
_atom_site_fract_x
_atom_site_fract_y
_atom_site_fract_z
_atom_site_occupancy
Ba1 0.000 0.000 0.000 1
Li1 0.500 0.500 0.500 1
O1 0.000 0.000 0.500 1
```

## Properties
The magnetization comes out at 0.000 μB per formula unit. Its raw formation energy is -2.20 eV per formula unit. For the raw total energy, the calculation gives -0.3073 Ry per atom.


An optimized crystal structure of Ba4Li2O. Source: Alexandria, functional GGA-PBE.

CIF file:
```
data_Ba4Li2O
_symmetry_space_group_name_H-M 'I 4/m m m'
_symmetry_Int_Tables_number 139
_symmetry_space_group_name_Hall '-I 4 2'
_cell_length_a 5.454
_cell_length_b 5.454
_cell_length_c 19.126
_cell_angle_alpha 90.00
_cell_angle_beta 90.00
_cell_angle_gamma 90.00
loop_
_atom_site_label
_atom_site_fract_x
_atom_site_fract_y
_atom_site_fract_z
_atom_site_occupancy
Ba1 0.000 0.000 0.169 1
Ba2 0.000 0.500 0.000 1
Li1 0.000 0.000 0.361 1
O1 0.000 0.000 0.000 1
```

## Properties
The magnetization comes out at 0.000 μB per formula unit. Its raw formation energy is -4.25 eV per formula unit. For the raw total energy, the calculation gives -0.2176 Ry per atom.


- Which value of magnetization does entry 10 give?
  0.000 μB per formula unit